No. 1
Here is an optimized crystal structure of Na2GaOsO6 from OQMD. Energies are from GGA-PBE.

* volume: 111.4 Å³/cell
* space group: Fm-3m (225)
* calculated density: 6.0 Mg/m³
* E_tot: -6.02 eV/atom

Structure (extended XYZ):
```
10
Lattice="0.0000 3.8185 3.8185 3.8185 0.0000 3.8185 3.8185 3.8185 0.0000" Properties=species:S:1:pos:R:3 pbc="T T T"
Ga 0.0000 0.0000 0.0000
Na 1.9092 1.9092 1.9092
Na 5.7278 5.7278 5.7278
O 1.9373 3.8185 3.8185
O 3.8185 1.9373 3.8185
O 3.8185 3.8185 5.6997
O 3.8185 3.8185 1.9373
O 3.8185 5.6997 3.8185
O 5.6997 3.8185 3.8185
Os 3.8185 3.8185 3.8185
```



No. 2
Here is an optimized crystal structure of NaGaOs from OQMD. Energies are from GGA-PBE.

* volume: 59.0 Å³/cell
* space group: F-43m (216)
* calculated density: 8.0 Mg/m³
* energy above the most stable polymorph in this dataset: 771 meV per atom

Structure (extended XYZ):
```
3
Lattice="0.0000 3.0906 3.0906 3.0906 0.0000 3.0906 3.0906 3.0906 0.0000" Properties=species:S:1:pos:R:3 pbc="T T T"
Ga 1.5453 1.5453 1.5453
Na 0.0000 0.0000 0.0000
Os 4.6359 4.6359 4.6359
```



No. 3
Here is an optimized crystal structure of NaGaOs from OQMD. Energies are from GGA-PBE.

* volume: 55.8 Å³/cell
* space group: F-43m (216)
* calculated density: 8.4 Mg/m³
* energy above the most stable polymorph in this dataset: 0 meV per atom

Structure (extended XYZ):
```
3
Lattice="-0.6033 -0.4062 4.2277 -3.4658 -2.0456 1.4854 0.4118 -3.8406 1.8662" Properties=species:S:1:pos:R:3 pbc="T T T"
Ga 0.0000 0.0000 0.0000
Na -0.9143 -1.5731 1.8948
Os -2.7429 -4.7193 5.6845
```



No. 4
Here is an optimized crystal structure of NaGaTeOs from OQMD. Energies are from GGA-PBE.

* volume: 75.6 Å³/cell
* space group: F-43m (216)
* calculated density: 9.0 Mg/m³
* energy above the most stable polymorph in this dataset: 477 meV per atom

Structure (extended XYZ):
```
4
Lattice="0.1142 -4.1637 2.2733 -2.8507 -3.5344 -1.3778 1.8240 -3.8223 -2.1400" Properties=species:S:1:pos:R:3 pbc="T T T"
Ga -0.2281 -2.8801 -0.3111
Na -0.6844 -8.6403 -0.9334
Os 0.0000 0.0000 0.0000
Te -0.4563 -5.7602 -0.6223
```



No. 5
Here is an optimized crystal structure of NaGaTeOs from OQMD. Energies are from GGA-PBE.

* volume: 76.7 Å³/cell
* space group: F-43m (216)
* calculated density: 8.9 Mg/m³
* energy above the most stable polymorph in this dataset: 450 meV per atom

Structure (extended XYZ):
```
4
Lattice="2.1469 -3.4532 2.4935 -0.2228 0.0077 4.7646 -2.6146 -3.2802 2.2706" Properties=species:S:1:pos:R:3 pbc="T T T"
Ga -0.3452 -3.3628 4.7643
Na -0.5179 -5.0443 7.1465
Os 0.0000 0.0000 0.0000
Te -0.1726 -1.6814 2.3822
```



No. 6
Here is an optimized crystal structure of NaGaTeOs from OQMD. Energies are from GGA-PBE.

* volume: 71.3 Å³/cell
* space group: F-43m (216)
* calculated density: 9.6 Mg/m³
* energy above the most stable polymorph in this dataset: 0 meV per atom

Structure (extended XYZ):
```
4
Lattice="1.8908 -3.4516 2.4857 1.4472 0.7891 4.3532 -2.3279 -1.8261 3.5936" Properties=species:S:1:pos:R:3 pbc="T T T"
Ga 0.0000 0.0000 0.0000
Na 0.7576 -3.3664 7.8243
Os 0.2525 -1.1221 2.6081
Te 0.5051 -2.2443 5.2162
```